AlCr2BiO6: relaxed, PBE+U.

As for the crystal system: trigonal. The total energy comes out at -7.17 eV/atom. Its density of states at the Fermi level is 0.000 states/eV per atom.

The space group is R3 (No. 146, hexagonal axes) and the conventional cell measures 5.2664, 5.2664 and 14.0269 Å, with angles of 90.00, 90.00 and 120.00 degrees. Symmetry generates all atoms from Al at (0.0000, 0.0000, 0.0000), Cr at (0.0000, 0.0000, 0.3081), Cr at (0.0000, 0.0000, 0.7984), Bi at (0.0000, 0.0000, 0.5247), O at (0.0011, 0.3268, 0.3926) and O at (0.0315, 0.6043, 0.5713).